CsMnAl2F8: relaxed, GGA+U.

Cell: 9.4882 9.4882 9.4882 Å, 34.12 34.12 34.12°
Closest atoms and distances in Å follow each position.
Sites, in units of the cell vectors:
Cs1 0.0000 0.0000 0.0000  6 F 3.34
Mn1 0.5000 0.5000 0.5000  6 F 2.24
Al1 0.2359 0.2359 0.2359  4 F 1.71-1.73
Al2 0.7641 0.7641 0.7641  4 F 1.71-1.73
F1 0.1009 0.5128 0.7345  1 Al 1.73
F2 0.2655 0.8991 0.4872  1 Al 1.73
F3 0.2998 0.2998 0.2998  1 Al 1.71
F4 0.4872 0.2655 0.8991  1 Al 1.73
F5 0.5128 0.7345 0.1009  1 Al 1.73
F6 0.7002 0.7002 0.7002  1 Al 1.71
F7 0.7345 0.1009 0.5128  1 Al 1.73
F8 0.8991 0.4872 0.2655  1 Al 1.73

## Properties
Space-group type: R-3
VASP energy, eV per cell: -66.53